1.
The following is a PBE-GGA calculation of Nb4InS8 after structural relaxation, from Alexandria via LeMat-Bulk.

Summary:
N(E_F) ... 0.5215 states/eV per atom
Symmetry ... F-43m
Raw total energy ... -6.827 eV per atom
Raw formation energy ... -0.98 eV per atom
Magnetization ... 0.0 μB/f.u.

Cell: 7.2406 7.2406 7.2406 Å, 60.00 60.00 60.00°
Closest atoms and distances in Å follow each position.
Sites, in units of the cell vectors:
S 0.6105 0.6105 0.1685  1 In 2.47, 3 Nb 2.67
S 0.6406 0.1198 0.1198  3 Nb 2.43
S 0.6105 0.1685 0.6105  1 In 2.47, 3 Nb 2.67
S 0.1685 0.6105 0.6105  1 In 2.47, 3 Nb 2.67
S 0.1198 0.6406 0.1198  3 Nb 2.43
S 0.6105 0.6105 0.6105  1 In 2.47, 3 Nb 2.67
S 0.1198 0.1198 0.1198  3 Nb 2.43
S 0.1198 0.1198 0.6406  3 Nb 2.43
Nb 0.3546 0.9363 0.3546  6 S 2.43-2.67
Nb 0.3546 0.3546 0.3546  6 S 2.43-2.67
Nb 0.9363 0.3546 0.3546  6 S 2.43-2.67
Nb 0.3546 0.3546 0.9363  6 S 2.43-2.67
In 0.7500 0.7500 0.7500  4 S 2.47

---

2.
The following is a PBE-GGA calculation of Ru3Rh after structural relaxation, from Alexandria via LeMat-Bulk.

Summary:
N(E_F) ... 1.5288 states/eV per atom
ΔE_f ... 0.07 eV/atom
Symmetry ... P6_3/mmc
Raw total energy ... -8.721 eV per atom
Magnetization ... 0.0 μB/f.u.

Cell: 5.4358 5.4358 8.7451 Å, 90.00 90.00 120.00°
Closest atoms and distances in Å follow each position.
Sites, in units of the cell vectors:
Ru 0.6648 0.8324 0.7500  8 Ru 2.69-2.73, 4 Rh 2.70-2.72
Ru 0.3352 0.1676 0.2500  8 Ru 2.69-2.73, 4 Rh 2.70-2.72
Ru 0.8324 0.1676 0.2500  8 Ru 2.69-2.73, 4 Rh 2.70-2.72
Ru 0.0000 0.5000 0.0000  8 Ru 2.69-2.72, 4 Rh 2.69-2.72
Ru 0.5000 0.5000 0.0000  8 Ru 2.69-2.72, 4 Rh 2.69-2.72
Ru 0.5000 0.0000 0.0000  8 Ru 2.69-2.72, 4 Rh 2.69-2.72
Ru 0.0000 0.5000 0.5000  8 Ru 2.69-2.72, 4 Rh 2.69-2.72
Ru 0.5000 0.5000 0.5000  8 Ru 2.69-2.72, 4 Rh 2.69-2.72
Ru 0.1676 0.8324 0.7500  8 Ru 2.69-2.73, 4 Rh 2.70-2.72
Ru 0.5000 0.0000 0.5000  8 Ru 2.69-2.72, 4 Rh 2.69-2.72
Ru 0.8324 0.6648 0.2500  8 Ru 2.69-2.73, 4 Rh 2.70-2.72
Ru 0.1676 0.3352 0.7500  8 Ru 2.69-2.73, 4 Rh 2.70-2.72
Rh 0.3333 0.6667 0.2500  12 Ru 2.69-2.72
Rh 0.6667 0.3333 0.7500  12 Ru 2.69-2.72
Rh 0.0000 0.0000 0.5000  12 Ru 2.70-2.72
Rh 0.0000 0.0000 0.0000  12 Ru 2.70-2.72

---

3.
The following is a PBE-GGA calculation of BMo3I after structural relaxation, from Alexandria via LeMat-Bulk.

Summary:
N(E_F) ... 1.0545 states/eV per atom
Symmetry ... Pm-3m
Raw total energy ... -7.284 eV per atom
Raw formation energy ... 0.86 eV per atom
Magnetization ... 1.2 μB/f.u.
Energy relative to the lowest polymorph listed for this composition ... 0.000 eV per atom

Cell: 4.3304 4.3304 4.3304 Å, 90.00 90.00 90.00°
Closest atoms and distances in Å follow each position.
Sites, in units of the cell vectors:
Mo 0.0000 0.5000 0.0000  2 B 2.17
Mo 0.0000 0.0000 0.5000  2 B 2.17
Mo 0.5000 0.0000 0.0000  2 B 2.17
I 0.5000 0.5000 0.5000  12 Mo 3.06
B 0.0000 0.0000 0.0000  6 Mo 2.17

---

4.
The following is a PBE-GGA calculation of Th2CuGeC after structural relaxation, from Alexandria via LeMat-Bulk.

Summary:
N(E_F) ... 0.6508 states/eV per atom
ΔE_f ... -0.47 eV/atom
Symmetry ... P2_1/m
Raw total energy ... -7.021 eV per atom
Magnetization ... 0.0 μB/f.u.

Cell: 3.9767 6.6437 8.2589 Å, 107.27 90.00 90.00°
Closest atoms and distances in Å follow each position.
Sites, in units of the cell vectors:
C 0.7500 0.1552 0.1700  1 Cu 1.96
C 0.2500 0.8448 0.8300  1 Cu 1.96
Cu 0.7500 0.4642 0.2532  1 C 1.96
Cu 0.2500 0.5358 0.7468  1 C 1.96
Th 0.2500 0.1956 0.3875  2 C 2.64
Th 0.2500 0.2181 0.9630  1 C 2.40
Th 0.7500 0.8044 0.6125  2 C 2.64
Th 0.7500 0.7819 0.0370  1 C 2.40
Ge 0.7500 0.3101 0.6947  2 Cu 2.45
Ge 0.2500 0.6899 0.3053  2 Cu 2.45

---

5.
The following is a PBE-GGA calculation of Mg2AuBr after structural relaxation, from Alexandria via LeMat-Bulk.

Summary:
N(E_F) ... 0.3795 states/eV per atom
Symmetry ... R-3m
Raw total energy ... -2.647 eV per atom
Raw formation energy ... -0.61 eV per atom
Magnetization ... 0.0 μB/f.u.
Energy relative to the lowest polymorph listed for this composition ... 0.060 eV per atom

Cell: 7.8598 7.8598 7.8598 Å, 27.73 27.73 27.73°
Closest atoms and distances in Å follow each position.
Sites, in units of the cell vectors:
Mg 0.9895 0.9895 0.9895  3 Au 2.73, 3 Br 3.04
Mg 0.5105 0.5105 0.5105  3 Au 2.73, 3 Br 3.04
Br 0.7500 0.7500 0.7500  6 Mg 3.04
Au 0.2500 0.2500 0.2500  6 Mg 2.73

---

6.
The following is a PBE-GGA calculation of FeSb2Te after structural relaxation, from Alexandria via LeMat-Bulk.

Summary:
N(E_F) ... 0.8214 states/eV per atom
Symmetry ... R-3m
Raw total energy ... -4.758 eV per atom
Raw formation energy ... 0.20 eV per atom
Magnetization ... 1.8 μB/f.u.

Cell: 8.7771 8.7771 8.7771 Å, 23.41 23.41 23.41°
Closest atoms and distances in Å follow each position.
Sites, in units of the cell vectors:
Fe 0.7500 0.7500 0.7500  6 Sb 2.62
Sb 0.4804 0.4804 0.4804  3 Fe 2.62
Sb 0.0196 0.0196 0.0196  3 Fe 2.62
Te 0.2500 0.2500 0.2500  6 Sb 3.34, 6 Te 3.56

---

7.
The following is a PBE-GGA calculation of Ti6NbIr5 after structural relaxation, from Alexandria via LeMat-Bulk.

Summary:
N(E_F) ... 0.4344 states/eV per atom
ΔE_f ... -0.78 eV/atom
Symmetry ... Cmmm
Raw total energy ... -9.258 eV per atom
Magnetization ... 0.0 μB/f.u.

Cell: 4.3623 6.4370 6.8937 Å, 90.00 71.55 90.00°
Closest atoms and distances in Å follow each position.
Sites, in units of the cell vectors:
Ir 0.0000 0.5000 0.0000  8 Ti 2.72
Ir 0.3307 0.0000 0.3387  8 Ti 2.67-2.73
Ir 0.6693 0.0000 0.6613  8 Ti 2.67-2.73
Ir 0.6671 0.5000 0.6658  8 Ti 2.72
Ir 0.3329 0.5000 0.3342  8 Ti 2.72
Ti 0.8335 0.2474 0.3330  7 Ir 2.67-2.72, 1 Nb 2.70
Ti 0.1665 0.7526 0.6670  7 Ir 2.67-2.72, 1 Nb 2.70
Ti 0.5000 0.2482 0.0000  2 Nb 2.70, 6 Ir 2.72-2.73
Ti 0.8335 0.7526 0.3330  7 Ir 2.67-2.72, 1 Nb 2.70
Ti 0.1665 0.2474 0.6670  7 Ir 2.67-2.72, 1 Nb 2.70
Ti 0.5000 0.7518 0.0000  2 Nb 2.70, 6 Ir 2.72-2.73
Nb 0.0000 0.0000 0.0000  8 Ti 2.70

---

8.
The following is a PBE-GGA calculation of CsCaI3 after structural relaxation, from Alexandria via LeMat-Bulk.

Summary:
N(E_F) ... 0.0000 states/eV per atom
Symmetry ... P1
Raw total energy ... -3.107 eV per atom
Raw formation energy ... -1.61 eV per atom
Magnetization ... 0.0 μB/f.u.

Cell: 7.7983 8.6317 11.5837 Å, 105.14 132.45 99.06°
Closest atoms and distances in Å follow each position.
Sites, in units of the cell vectors:
I 0.9496 0.8282 0.3607  2 Ca 3.14-3.16
I 0.9944 0.3078 0.3167  2 Ca 3.14-3.17
I 0.8612 0.4974 0.6498  2 Ca 3.14-3.16
I 0.8156 0.0176 0.6934  2 Ca 3.14-3.17
I 0.5246 0.3568 0.8382  2 Ca 3.14-3.15
I 0.2859 0.9692 0.1720  2 Ca 3.14-3.15
Cs 0.5089 0.8302 0.8384  6 I 3.98-4.12
Cs 0.3032 0.4968 0.1741  6 I 3.97-4.12
Ca 0.9053 0.1629 0.5053  6 I 3.14-3.17
Ca 0.4052 0.1629 0.5052  6 I 3.14-3.16